DFT (PBE) results for a relaxed KBaMn2 crystal.

The structure belongs to space group Imm2 (No. 44); the cell edges are 3.740, 5.859 and 12.154 Å and the angles 90.00°, 90.00° and 90.00°. Symmetry generates all atoms from K at (0.000, 0.000, 0.000), Ba at (0.000, 0.500, 0.206), Mn at (0.000, 0.000, 0.426) and Mn at (0.000, 0.500, 0.766).

As for the formation energy from the elements: 0.82 eV/atom. The calculation puts the energy above the lowest structure with this stoichiometry at 103 meV per atom.

---

DFT (PBE) results for a relaxed ErTm2Pb crystal.

The structure belongs to space group C2/m (No. 12); the cell edges are 12.475, 3.546 and 11.537 Å and the angles 90.00°, 113.89° and 90.00°. Symmetry generates all atoms from Er at (0.115, 0.000, 0.151), Tm at (0.100, 0.500, 0.410), Tm at (0.130, 0.500, 0.893) and Pb at (0.158, 0.000, 0.659).

As for the formation energy from the elements: -0.22 eV/atom. The calculation puts the energy above the lowest structure with this stoichiometry at 37 meV per atom.

---

DFT (PBE) results for a relaxed Cs2AcTmS4 crystal.

The structure belongs to space group P2/m (No. 10); the cell edges are 7.411, 4.274 and 8.458 Å and the angles 90.00°, 106.81° and 90.00°. Symmetry generates all atoms from Cs at (0.000, 0.000, 0.000), Cs at (0.500, 0.500, 0.000), Ac at (0.000, 0.500, 0.500), Tm at (0.500, 0.000, 0.500), S at (0.251, 0.000, 0.688) and S at (0.292, 0.500, 0.319).

The calculation puts the total energy at -5.1700 eV per atom.

---

DFT (PBE) results for a relaxed PmScCdIn crystal.

The structure belongs to space group F-43m (No. 216); the cell edges are 7.404, 7.404 and 7.404 Å and the angles 90.00°, 90.00° and 90.00°. Symmetry generates all atoms from Pm at (0.000, 0.000, 0.000), Sc at (0.000, 0.000, 0.500), Cd at (0.250, 0.250, 0.250) and In at (0.250, 0.250, 0.750).

As for the formation energy from the elements: -0.38 eV/atom.

---

DFT (PBE) results for a relaxed ScICl3 crystal.

The structure belongs to space group Pm-3m (No. 221); the cell edges are 5.109, 5.109 and 5.109 Å and the angles 90.00°, 90.00° and 90.00°. Symmetry generates all atoms from Sc at (0.000, 0.000, 0.000), I at (0.500, 0.500, 0.500) and Cl at (0.000, 0.000, 0.500).

The calculation puts the energy above the lowest structure with this stoichiometry at 0 meV per atom.

---

DFT (PBE) results for a relaxed Be3NbPt crystal.

The structure belongs to space group Pm-3m (No. 221); the cell edges are 4.139, 4.139 and 4.139 Å and the angles 90.00°, 90.00° and 90.00°. Symmetry generates all atoms from Be at (0.000, 0.000, 0.500), Nb at (0.500, 0.500, 0.500) and Pt at (0.000, 0.000, 0.000).

As for the formation energy from the elements: 0.27 eV/atom. The calculation puts the energy above the lowest structure with this stoichiometry at 556 meV per atom.

---

Q: Number 5 is which compound?
A: ScICl3

---

Repeat the third record exactly.
DFT (PBE) results for a relaxed Cs2AcTmS4 crystal.

The structure belongs to space group P2/m (No. 10); the cell edges are 7.411, 4.274 and 8.458 Å and the angles 90.00°, 106.81° and 90.00°. Symmetry generates all atoms from Cs at (0.000, 0.000, 0.000), Cs at (0.500, 0.500, 0.000), Ac at (0.000, 0.500, 0.500), Tm at (0.500, 0.000, 0.500), S at (0.251, 0.000, 0.688) and S at (0.292, 0.500, 0.319).

The calculation puts the total energy at -5.1700 eV per atom.

---

Copy entry 2 word for word.
DFT (PBE) results for a relaxed ErTm2Pb crystal.

The structure belongs to space group C2/m (No. 12); the cell edges are 12.475, 3.546 and 11.537 Å and the angles 90.00°, 113.89° and 90.00°. Symmetry generates all atoms from Er at (0.115, 0.000, 0.151), Tm at (0.100, 0.500, 0.410), Tm at (0.130, 0.500, 0.893) and Pb at (0.158, 0.000, 0.659).

As for the formation energy from the elements: -0.22 eV/atom. The calculation puts the energy above the lowest structure with this stoichiometry at 37 meV per atom.

---

Q: Which formula does entry 6 have?
A: Be3NbPt